This record from Alexandria via LeMat-Bulk describes a relaxed CaAs2Ir crystal. The functional is PBE-GGA.

Output
Calculated formation energy in eV per atom: -0.279
ρ in g/cm³: 7.64

Unit cell a=4.617 b=3.193 c=5.844 alpha=74.62 beta=90.00 gamma=90.00
Fractional coordinates of all 4 atoms:
1 As 0.000 0.855 0.921
2 As 0.500 0.138 0.343
3 Ir 0.500 0.927 0.776
4 Ca 0.000 0.580 0.461